No. 1
A plane-wave DFT calculation with PBEsol was carried out for ZnSb2MoP after structural relaxation.

Formation energy (no corrections) in eV per atom: 0.510
Crystal system: tetragonal

Cell: 5.241 5.241 4.522 Å, 90.00 90.00 90.00°
Space group P4/mmm (No. 123)
Asymmetric unit:
Zn1 0.000 0.000 0.000 x1
Sb1 0.000 0.500 0.500 x2
Mo1 0.500 0.500 0.500 x1
P1 0.500 0.500 0.000 x1

=====

No. 2
A plane-wave DFT calculation with PBEsol was carried out for ScMoP3 after structural relaxation.

Crystal system: cubic
Formation energy in eV/atom: 0.130

Cell: 4.616 4.616 4.616 Å, 90.00 90.00 90.00°
Space group Pm-3m (No. 221)
Asymmetric unit:
Sc1 0.000 0.000 0.000 x1
Mo1 0.500 0.500 0.500 x1
P1 0.000 0.500 0.500 x3

=====

No. 3
A plane-wave DFT calculation with PBEsol was carried out for ScTiMoP2 after structural relaxation.

Crystal system: tetragonal
Formation energy in eV/atom: 0.536

Cell: 4.605 4.605 4.857 Å, 90.00 90.00 90.00°
Space group P4/mmm (No. 123)
Asymmetric unit:
Sc1 0.000 0.000 0.000 x1
Ti1 0.500 0.500 0.000 x1
Mo1 0.000 0.000 0.500 x1
P1 0.000 0.500 0.500 x2

=====

No. 4
A plane-wave DFT calculation with PBEsol was carried out for MoP2Se after structural relaxation.

Formation energy (no corrections) in eV per atom: 0.055
Crystal system: monoclinic

Cell: 3.398 4.646 4.224 Å, 90.00 100.53 90.00°
Space group P2/m (No. 10)
Asymmetric unit:
Mo1 0.000 0.000 0.000 x1
P1 0.207 0.500 0.829 x2
Se1 0.500 0.000 0.500 x1

=====

No. 5
A plane-wave DFT calculation with PBEsol was carried out for MoPSe2 after structural relaxation.

Formation energy (no corrections) in eV per atom: -0.046
Crystal system: monoclinic

Cell: 12.901 3.051 4.020 Å, 90.00 96.72 90.00°
Space group C2/m (No. 12)
Asymmetric unit:
Mo1 0.000 0.000 0.000 x2
P1 0.000 0.500 0.500 x2
Se1 0.158 0.500 0.189 x4

=====

No. 6
A plane-wave DFT calculation with PBEsol was carried out for MoPSe2 after structural relaxation.

Formation energy (no corrections) in eV per atom: 0.548
Crystal system: tetragonal

Cell: 6.076 6.076 9.790 Å, 90.00 90.00 90.00°
Space group I-42d (No. 122)
Asymmetric unit:
Mo1 0.000 0.000 0.000 x4
P1 0.000 0.000 0.500 x4
Se1 0.229 0.750 0.125 x8

=====

No. 7
A plane-wave DFT calculation with PBEsol was carried out for ZnMo2PSe after structural relaxation.

Formation energy (no corrections) in eV per atom: 0.715
Crystal system: tetragonal

Cell: 4.540 4.540 4.221 Å, 90.00 90.00 90.00°
Space group P4/mmm (No. 123)
Asymmetric unit:
Zn1 0.000 0.000 0.000 x1
Mo1 0.000 0.500 0.500 x2
P1 0.000 0.000 0.500 x1
Se1 0.500 0.500 0.000 x1

=====

No. 8
A plane-wave DFT calculation with PBEsol was carried out for SiMo3P after structural relaxation.

Formation energy (no corrections) in eV per atom: 0.634
Crystal system: cubic

Cell: 4.365 4.365 4.365 Å, 90.00 90.00 90.00°
Space group Pm-3m (No. 221)
Asymmetric unit:
Si1 0.000 0.000 0.000 x1
Mo1 0.000 0.500 0.500 x3
P1 0.500 0.500 0.500 x1

=====

No. 9
A plane-wave DFT calculation with PBEsol was carried out for SiMoP2 after structural relaxation.

Formation energy (no corrections) in eV per atom: 0.258
Crystal system: tetragonal

Cell: 3.699 3.699 7.899 Å, 90.00 90.00 90.00°
Space group I-4m2 (No. 119)
Asymmetric unit:
Si1 0.000 0.000 0.000 x2
Mo1 0.000 0.500 0.250 x2
P1 0.000 0.000 0.500 x2
P2 0.000 0.500 0.750 x2

=====

No. 10
A plane-wave DFT calculation with PBEsol was carried out for SiMoP3 after structural relaxation.

Formation energy (no corrections) in eV per atom: 0.775
Crystal system: cubic

Cell: 4.628 4.628 4.628 Å, 90.00 90.00 90.00°
Space group Pm-3m (No. 221)
Asymmetric unit:
Si1 0.000 0.000 0.000 x1
Mo1 0.500 0.500 0.500 x1
P1 0.000 0.500 0.500 x3

=====

No. 11
A plane-wave DFT calculation with PBEsol was carried out for SiMoP2 after structural relaxation.

Formation energy (no corrections) in eV per atom: 0.122
Crystal system: tetragonal

Cell: 4.243 4.243 5.956 Å, 90.00 90.00 90.00°
Space group I4/mmm (No. 139)
Asymmetric unit:
Si1 0.000 0.000 0.000 x2
Mo1 0.000 0.000 0.500 x2
P1 0.000 0.500 0.250 x4

=====

No. 12
A plane-wave DFT calculation with PBEsol was carried out for SnMoP3 after structural relaxation.

Crystal system: cubic
Formation energy in eV/atom: 0.398

Cell: 4.682 4.682 4.682 Å, 90.00 90.00 90.00°
Space group Pm-3m (No. 221)
Asymmetric unit:
Sn1 0.000 0.000 0.000 x1
Mo1 0.500 0.500 0.500 x1
P1 0.000 0.500 0.500 x3

=====

No. 13
A plane-wave DFT calculation with PBEsol was carried out for SrMoP2 after structural relaxation.

Crystal system: orthorhombic
Formation energy in eV/atom: -0.504

Cell: 3.240 3.455 13.772 Å, 90.00 90.00 90.00°
Space group Imm2 (No. 44)
Asymmetric unit:
Sr1 0.000 0.000 0.000 x2
Mo1 0.000 0.500 0.253 x2
P1 0.000 0.000 0.627 x2
P2 0.000 0.500 0.820 x2

=====

No. 14
A plane-wave DFT calculation with PBEsol was carried out for SrMo4P after structural relaxation.

Crystal system: cubic
Formation energy in eV/atom: 0.802

Cell: 7.542 7.542 7.542 Å, 90.00 90.00 90.00°
Space group F-43m (No. 216)
Asymmetric unit:
Sr1 0.000 0.000 0.000 x4
Mo1 0.122 0.122 0.622 x16
P1 0.250 0.250 0.250 x4

=====

No. 15
A plane-wave DFT calculation with PBEsol was carried out for SrMoP2 after structural relaxation.

Crystal system: monoclinic
Formation energy in eV/atom: 0.148

Cell: 6.341 7.171 3.273 Å, 90.00 104.73 90.00°
Space group C2/m (No. 12)
Asymmetric unit:
Sr1 0.000 0.000 0.000 x2
Mo1 0.000 0.500 0.000 x2
P1 0.250 0.250 0.500 x4

=====

No. 16
A plane-wave DFT calculation with PBEsol was carried out for SrYMoP2 after structural relaxation.

Crystal system: tetragonal
Formation energy in eV/atom: 0.308

Cell: 4.764 4.764 5.157 Å, 90.00 90.00 90.00°
Space group P4/mmm (No. 123)
Asymmetric unit:
Sr1 0.000 0.000 0.000 x1
Y1 0.500 0.500 0.000 x1
Mo1 0.000 0.000 0.500 x1
P1 0.000 0.500 0.500 x2

=====

No. 17
A plane-wave DFT calculation with PBEsol was carried out for Ta2MoP after structural relaxation.

Crystal system: orthorhombic
Formation energy in eV/atom: -0.277

Cell: 3.323 4.701 8.059 Å, 90.00 90.00 90.00°
Space group Cmmm (No. 65)
Asymmetric unit:
Ta1 0.000 0.000 0.231 x4
Mo1 0.000 0.500 0.500 x2
P1 0.000 0.500 0.000 x2

=====

No. 18
A plane-wave DFT calculation with PBEsol was carried out for Ta2MoP after structural relaxation.

Crystal system: orthorhombic
Formation energy in eV/atom: -0.185

Cell: 3.325 4.533 8.261 Å, 90.00 90.00 90.00°
Space group Immm (No. 71)
Asymmetric unit:
Ta1 0.000 0.000 0.244 x4
Mo1 0.000 0.500 0.000 x2
P1 0.000 0.500 0.500 x2

=====

No. 19
A plane-wave DFT calculation with PBEsol was carried out for TaMo2P after structural relaxation.

Crystal system: tetragonal
Formation energy in eV/atom: -0.072

Cell: 3.649 3.649 8.911 Å, 90.00 90.00 90.00°
Space group I-4m2 (No. 119)
Asymmetric unit:
Ta1 0.000 0.000 0.000 x2
Mo1 0.000 0.000 0.500 x2
Mo2 0.000 0.500 0.250 x2
P1 0.000 0.500 0.750 x2

=====

No. 20
A plane-wave DFT calculation with PBEsol was carried out for Ta2MoP after structural relaxation.

Crystal system: orthorhombic
Formation energy in eV/atom: -0.194

Cell: 3.260 4.460 8.524 Å, 90.00 90.00 90.00°
Space group Imm2 (No. 44)
Asymmetric unit:
Ta1 0.000 0.000 0.000 x2
Ta2 0.000 0.500 0.236 x2
Mo1 0.000 0.500 0.752 x2
P1 0.000 0.000 0.487 x2

=====

Which calculated total energy belongs to each record? In order, -25.708, -35.097, -35.597, -26.982, -50.890, -92.267, -31.187, -43.674, -56.130, -31.014, -57.219, -31.410, -54.411, -199.575, -49.196, -30.473, -87.540, -86.802, -84.330, -86.878 eV/cell.